Record 1
## Tm4ZnPb (PBE)

Data for a relaxed Tm4ZnPb crystal.

Cell lengths 8.088, 8.088, 5.983 Å; angles 102.78, 102.78, 113.34 degrees
Element x y z (fractional)
Tm1 0.067 0.709 0.929
Tm2 0.210 0.369 0.664
Tm3 0.291 0.933 0.571
Tm4 0.369 0.210 0.164
Tm5 0.631 0.790 0.836
Tm6 0.709 0.067 0.429
Tm7 0.790 0.631 0.336
Tm8 0.933 0.291 0.071
Zn1 0.000 0.000 0.250
Zn2 0.000 0.000 0.750
Pb1 0.377 0.623 0.250
Pb2 0.623 0.377 0.750

Properties
**E**: -4.04 eV per atom
**E_form**: -0.229 eV per atom
**Offset from the most stable computed form**: 0.16 eV per formula unit
**Symmetry**: C2/c, No. 15
**DOS(E_F)**: 14.633 states/eV/cell



Record 2
## CaCrNi (PBE)

Data for a relaxed CaCrNi crystal.

Cell lengths 5.673, 5.673, 7.071 Å; angles 124.93, 124.93, 41.83 degrees
Element x y z (fractional)
Ca1 0.074 0.074 0.313
Ca2 0.926 0.926 0.687
Cr1 0.286 0.286 0.902
Cr2 0.714 0.714 0.098
Ni1 0.366 0.366 0.317
Ni2 0.634 0.634 0.683

Properties
**E**: -5.52 eV per atom
**E_form**: 0.281 eV per atom
**Offset from the most stable computed form**: 0.19 eV per formula unit
**Symmetry**: C2/m, No. 12
**DOS(E_F)**: 7.663 states/eV/cell



Record 3
## Ba6NaAuO (PBE)

Data for a relaxed Ba6NaAuO crystal.

Cell lengths 8.052, 8.052, 7.691 Å; angles 90.00, 90.00, 120.00 degrees
Element x y z (fractional)
Ba1 0.054 0.366 0.220
Ba2 0.054 0.687 0.780
Ba3 0.313 0.366 0.780
Ba4 0.313 0.946 0.220
Ba5 0.634 0.687 0.220
Ba6 0.634 0.946 0.780
Na1 0.667 0.333 0.500
Au1 0.000 0.000 0.000
O1 0.333 0.667 0.000

Properties
**E**: -2.94 eV per atom
**Symmetry**: P312, No. 149
**Raw formation energy**: -0.60 eV/atom
**DOS(E_F)**: 9.532 states/eV/cell



Record 4
## LiSmGdBe (PBE)

Data for a relaxed LiSmGdBe crystal.

Cell lengths 5.057, 5.057, 5.057 Å; angles 60.00, 60.00, 60.00 degrees
Element x y z (fractional)
Li1 0.000 0.000 0.000
Sm1 0.750 0.750 0.750
Gd1 0.250 0.250 0.250
Be1 0.500 0.500 0.500

Properties
**E**: -5.97 eV per atom
**E_form**: 0.141 eV per atom
**Symmetry**: F-43m, No. 216
**DOS(E_F)**: 3.138 states/eV/cell



Record 5
## MnFe (PBE)

Data for a relaxed MnFe crystal.

Cell lengths 6.049, 6.049, 6.049 Å; angles 90.00, 90.00, 90.00 degrees
Element x y z (fractional)
Mn1 0.000 0.250 0.500
Mn2 0.000 0.750 0.500
Mn3 0.250 0.500 0.000
Mn4 0.500 0.000 0.250
Mn5 0.500 0.000 0.750
Mn6 0.750 0.500 0.000
Fe1 0.000 0.500 0.250
Fe2 0.000 0.500 0.750
Fe3 0.250 0.000 0.500
Fe4 0.500 0.250 0.000
Fe5 0.500 0.750 0.000
Fe6 0.750 0.000 0.500

Properties
**E**: -7.21 eV per atom
**E_form**: 1.609 eV per atom
**Symmetry**: Pm-3n, No. 223
**DOS(E_F)**: 10.826 states/eV/cell



Record 6
## AlWS2N (PBE)

Data for a relaxed AlWS2N crystal.

Cell lengths 4.666, 4.666, 3.510 Å; angles 90.00, 90.00, 90.00 degrees
Element x y z (fractional)
Al1 0.000 0.000 0.000
W1 0.500 0.500 0.500
S1 0.000 0.500 0.000
S2 0.500 0.000 0.000
N1 0.000 0.000 0.500

Properties
**E**: -5.92 eV per atom
**Offset from the most stable computed form**: 3.30 eV per formula unit
**Symmetry**: P4/mmm, No. 123
**Raw formation energy**: 0.74 eV/atom
**DOS(E_F)**: 1.734 states/eV/cell



Record 7
## BeWCl2 (PBE)

Data for a relaxed BeWCl2 crystal.

Cell lengths 3.314, 2.981, 7.949 Å; angles 90.00, 95.86, 90.00 degrees
Element x y z (fractional)
Be1 0.000 0.000 0.000
W1 0.521 0.500 0.146
Cl1 0.233 0.500 0.840
Cl2 0.608 0.000 0.383

Properties
**E**: -5.24 eV per atom
**Offset from the most stable computed form**: 0.12 eV per formula unit
**Symmetry**: Pm, No. 6
**Raw formation energy**: -0.15 eV/atom
**DOS(E_F)**: 1.719 states/eV/cell



Record 8
## BaPu2AgO8 (PBE)

Data for a relaxed BaPu2AgO8 crystal.

Cell lengths 6.696, 6.696, 6.696 Å; angles 110.35, 110.35, 107.73 degrees
Element x y z (fractional)
Ba1 0.000 0.000 0.000
Pu1 0.250 0.750 0.500
Pu2 0.500 0.500 0.000
Ag1 0.750 0.250 0.500
O1 0.067 0.401 0.334
O2 0.067 0.733 0.666
O3 0.144 0.322 0.822
O4 0.267 0.933 0.334
O5 0.500 0.322 0.178
O6 0.599 0.933 0.666
O7 0.678 0.500 0.822
O8 0.678 0.856 0.178

Properties
**E**: -7.80 eV per atom
**Symmetry**: I-4m2, No. 119
**Raw formation energy**: -1.71 eV/atom
**DOS(E_F)**: 17.761 states/eV/cell



Record 9
## La2ReBr (PBE)

Data for a relaxed La2ReBr crystal.

Cell lengths 3.520, 5.314, 5.357 Å; angles 90.00, 90.00, 90.00 degrees
Element x y z (fractional)
La1 0.000 0.000 0.000
La2 0.000 0.500 0.500
Re1 0.500 0.000 0.500
Br1 0.500 0.500 0.000

Properties
**E**: -6.18 eV per atom
**Offset from the most stable computed form**: 1.35 eV per formula unit
**Symmetry**: Pmmm, No. 47
**Raw formation energy**: -0.18 eV/atom
**DOS(E_F)**: 3.554 states/eV/cell



Record 10
## V6GaIr (PBE)

Data for a relaxed V6GaIr crystal.

Cell lengths 4.256, 5.215, 5.215 Å; angles 70.02, 90.00, 90.00 degrees
Element x y z (fractional)
V1 0.000 0.000 0.000
V2 0.000 0.013 0.491
V3 0.000 0.491 0.013
V4 0.500 0.255 0.770
V5 0.500 0.258 0.258
V6 0.500 0.770 0.255
Ga1 0.500 0.765 0.765
Ir1 0.000 0.508 0.508

Properties
**E**: -8.60 eV per atom
**E_form**: -0.273 eV per atom
**Symmetry**: Amm2, No. 38
**DOS(E_F)**: 4.163 states/eV/cell



Record 11
## ScPa2N (PBE)

Data for a relaxed ScPa2N crystal.

Cell lengths 9.359, 9.359, 9.359 Å; angles 19.71, 19.71, 19.71 degrees
Element x y z (fractional)
Sc1 0.000 0.000 0.000
Pa1 0.110 0.110 0.110
Pa2 0.890 0.890 0.890
N1 0.500 0.500 0.500

Properties
**E**: -8.89 eV per atom
**Symmetry**: R-3m, No. 166
**Raw formation energy**: -0.48 eV/atom
**DOS(E_F)**: 5.906 states/eV/cell